[1]
A relaxed structure of Mn2AsPd. Source: the Alexandria database, functional GGA-PBE.

Cell: 6.937 6.937 5.217 Å, 90.00 90.00 90.00°
Space group I-42d (No. 122)
Symmetry-distinct sites (fractional):
Mn1 0.230 0.250 0.125
As1 0.000 0.000 0.000
Pd1 0.000 0.000 0.500

Summary:
The calculation puts the density of states at the Fermi level at 9.97 states/eV per cell. The formation energy comes out at 0.113 eV per atom.


[2]
A relaxed structure of Mn2AsPd. Source: the Alexandria database, functional GGA-PBE.

Cell: 3.861 3.861 3.808 Å, 90.00 90.00 90.00°
Space group P4/mmm (No. 123)
Symmetry-distinct sites (fractional):
Mn1 0.000 0.500 0.000
As1 0.000 0.000 0.500
Pd1 0.500 0.500 0.500

Summary:
The calculation puts the density of states at the Fermi level at 3.73 states/eV per cell. The formation energy comes out at -0.044 eV per atom.


[3]
A relaxed structure of MnAs2Pd. Source: the Alexandria database, functional GGA-PBE.

Cell: 4.263 4.263 15.793 Å, 90.00 90.00 90.00°
Space group I-42d (No. 122)
Symmetry-distinct sites (fractional):
Mn1 0.000 0.000 0.000
As1 0.238 0.250 0.125
Pd1 0.000 0.000 0.500

Summary:
The calculation puts the density of states at the Fermi level at 10.31 states/eV per cell. The relative energy among the computed polymorphs is 0 meV per atom. The formation energy comes out at -0.066 eV per atom.


[4]
A relaxed structure of MnAs2Pd. Source: the Alexandria database, functional GGA-PBE.

Cell: 6.354 6.354 6.354 Å, 90.00 90.00 90.00°
Space group Fm-3m (No. 225)
Symmetry-distinct sites (fractional):
Mn1 0.000 0.000 0.000
As1 0.250 0.250 0.250
Pd1 0.000 0.000 0.500

Summary:
The calculation puts the density of states at the Fermi level at 6.57 states/eV per cell. The relative energy among the computed polymorphs is 11 meV per atom. The formation energy comes out at -0.054 eV per atom.


[5]
A relaxed structure of Pm2MnAs3Pd4. Source: the Alexandria database, functional GGA-PBE.

Cell: 4.194 4.194 10.914 Å, 90.00 90.00 90.00°
Space group P-4m2 (No. 115)
Symmetry-distinct sites (fractional):
Pm1 0.000 0.500 0.232
Mn1 0.000 0.000 0.500
As1 0.000 0.500 0.862
As2 0.500 0.500 0.500
Pd1 0.000 0.000 0.000
Pd2 0.000 0.500 0.638
Pd3 0.500 0.500 0.000

Summary:
The calculation puts the density of states at the Fermi level at 4.18 states/eV per cell. The formation energy comes out at -0.780 eV per atom.


[6]
A relaxed structure of Pr2MnAs4Pd3. Source: the Alexandria database, functional GGA-PBE.

Cell: 4.391 4.391 10.235 Å, 90.00 90.00 90.00°
Space group P-4m2 (No. 115)
Symmetry-distinct sites (fractional):
Pr1 0.000 0.500 0.243
Mn1 0.000 0.000 0.500
As1 0.000 0.000 0.000
As2 0.000 0.500 0.631
As3 0.500 0.500 0.000
Pd1 0.000 0.500 0.874
Pd2 0.500 0.500 0.500

Summary:
The calculation puts the density of states at the Fermi level at 4.55 states/eV per cell. The formation energy comes out at -0.800 eV per atom.


[7]
A relaxed structure of Pr2MnAs3Pd4. Source: the Alexandria database, functional GGA-PBE.

Cell: 4.260 4.260 10.756 Å, 90.00 90.00 90.00°
Space group P-4m2 (No. 115)
Symmetry-distinct sites (fractional):
Pr1 0.000 0.500 0.236
Mn1 0.000 0.000 0.500
As1 0.000 0.500 0.863
As2 0.500 0.500 0.500
Pd1 0.000 0.000 0.000
Pd2 0.000 0.500 0.634
Pd3 0.500 0.500 0.000

Summary:
The calculation puts the density of states at the Fermi level at 4.17 states/eV per cell. The formation energy comes out at -0.784 eV per atom.


[8]
A relaxed structure of MnAsPd2Pt. Source: the Alexandria database, functional GGA-PBE.

Cell: 4.926 4.926 4.705 Å, 90.00 90.00 90.00°
Space group P4/mmm (No. 123)
Symmetry-distinct sites (fractional):
Mn1 0.000 0.000 0.000
As1 0.500 0.500 0.000
Pd1 0.000 0.500 0.500
Pt1 0.000 0.000 0.500

Summary:
The calculation puts the density of states at the Fermi level at 5.27 states/eV per cell. The formation energy comes out at 0.918 eV per atom.


[9]
A relaxed structure of MnAsPdRu. Source: the Alexandria database, functional GGA-PBE.

Cell: 6.161 6.161 6.161 Å, 90.00 90.00 90.00°
Space group F-43m (No. 216)
Symmetry-distinct sites (fractional):
Mn1 0.000 0.000 0.000
As1 0.000 0.000 0.500
Pd1 0.250 0.250 0.750
Ru1 0.250 0.250 0.250

Summary:
The calculation puts the density of states at the Fermi level at 13.60 states/eV per cell. The formation energy comes out at -0.041 eV per atom.


[10]
A relaxed structure of MnSb2As2Pd7. Source: the Alexandria database, functional GGA-PBE.

Cell: 5.531 5.530 15.385 Å, 90.00 100.18 90.00°
Space group C2/m (No. 12)
Symmetry-distinct sites (fractional):
Mn1 0.000 0.000 0.000
Sb1 0.212 0.000 0.426
As1 0.114 0.500 0.232
Pd1 0.000 0.500 0.000
Pd2 0.185 0.250 0.867
Pd3 0.198 0.500 0.396

Summary:
The calculation puts the density of states at the Fermi level at 9.36 states/eV per cell. The calculation puts the uncorrected formation energy at -315 meV per atom.


[11]
A relaxed structure of MnSb2AsPd. Source: the Alexandria database, functional GGA-PBE.

Cell: 5.374 5.374 4.512 Å, 90.00 90.00 90.00°
Space group P4/mmm (No. 123)
Symmetry-distinct sites (fractional):
Mn1 0.000 0.000 0.000
Sb1 0.000 0.500 0.500
As1 0.000 0.000 0.500
Pd1 0.500 0.500 0.000

Summary:
The calculation puts the density of states at the Fermi level at 3.38 states/eV per cell. The calculation puts the uncorrected formation energy at 720 meV per atom.


[12]
A relaxed structure of MnAs2PdSe. Source: the Alexandria database, functional GGA-PBE.

Cell: 4.575 4.575 4.771 Å, 90.00 90.00 90.00°
Space group P4/mmm (No. 123)
Symmetry-distinct sites (fractional):
Mn1 0.000 0.000 0.000
As1 0.000 0.500 0.000
Pd1 0.500 0.500 0.500
Se1 0.000 0.000 0.500

Summary:
The calculation puts the density of states at the Fermi level at 3.71 states/eV per cell. The relative energy among the computed polymorphs is 0 meV per atom. The calculation puts the uncorrected formation energy at 413 meV per atom.


Repeat the twelfth record exactly.
A relaxed structure of MnAs2PdSe. Source: the Alexandria database, functional GGA-PBE.

Cell: 4.575 4.575 4.771 Å, 90.00 90.00 90.00°
Space group P4/mmm (No. 123)
Symmetry-distinct sites (fractional):
Mn1 0.000 0.000 0.000
As1 0.000 0.500 0.000
Pd1 0.500 0.500 0.500
Se1 0.000 0.000 0.500

Summary:
The calculation puts the density of states at the Fermi level at 3.71 states/eV per cell. The relative energy among the computed polymorphs is 0 meV per atom. The calculation puts the uncorrected formation energy at 413 meV per atom.


Question: The lowest density of states at the Fermi level belongs to which entry?
Answer: MnSb2AsPd


Question: Look up the density of states at the Fermi level of the seventh one.
Answer: 4.17 states/eV per cell